A plane-wave DFT calculation with PBE was carried out for crystalline LiAg6Pd at its relaxed geometry.

Cell lengths 5.7237, 5.7237, 4.1788 Å; angles 90.00, 90.00, 90.00 degrees
Fractional positions:
Li (0.0000, 0.0000, 0.0000)
Ag (0.0000, 0.5000, 0.0000)
Ag (0.2498, 0.2498, 0.5000)
Ag (0.2498, 0.7502, 0.5000)
Ag (0.5000, 0.0000, 0.0000)
Ag (0.7502, 0.2498, 0.5000)
Ag (0.7502, 0.7502, 0.5000)
Pd (0.5000, 0.5000, 0.0000)

Crystal system   tetragonal
Energy relative to the lowest polymorph listed for this composition   0 meV per atom
Energy of formation from the pure elements   -0.086 eV per atom